# AcHfAu2 (PBE-GGA, optimized geometry)
# V = 320.1 Å³ per cell
# total magnetization = 0.000 μB per cell
# energy = -0.4184 Ry per atom
# offset from the most stable computed form = 0.000 eV/atom
data_AcHfAu2
_chemical_formula_sum 'Ac3 Hf3 Au6'
_symmetry_space_group_name_H-M 'R -3 m'
_symmetry_Int_Tables_number 166
_symmetry_space_group_name_Hall '-R 3 2"'
_cell_length_a 4.7421
_cell_length_b 4.7421
_cell_length_c 16.4366
_cell_angle_alpha 90.00
_cell_angle_beta 90.00
_cell_angle_gamma 120.00
loop_
_atom_site_label
_atom_site_type_symbol
_atom_site_fract_x
_atom_site_fract_y
_atom_site_fract_z
Ac1 Ac 0.0000 0.0000 0.0000
Hf1 Hf 0.0000 0.0000 0.5000
Au1 Au 0.0000 0.0000 0.2057

***

# ZnFe2Co (PBE-GGA, optimized geometry)
# V = 96.3 Å³ per cell
# total magnetization = 13.119 μB per cell
# energy = -0.4633 Ry per atom
data_ZnFe2Co
_chemical_formula_sum 'Zn2 Fe4 Co2'
_symmetry_space_group_name_H-M 'I m m 2'
_symmetry_Int_Tables_number 44
_cell_length_a 2.9020
_cell_length_b 4.0995
_cell_length_c 8.0937
_cell_angle_alpha 90.00
_cell_angle_beta 90.00
_cell_angle_gamma 90.00
loop_
_symmetry_equiv_pos_as_xyz
'x,y,z'
'-x,-y,z'
'-x,y,z'
'x,-y,z'
'x+1/2,y+1/2,z+1/2'
'-x+1/2,-y+1/2,z+1/2'
'-x+1/2,y+1/2,z+1/2'
'x+1/2,-y+1/2,z+1/2'
loop_
_atom_site_label
_atom_site_type_symbol
_atom_site_fract_x
_atom_site_fract_y
_atom_site_fract_z
Zn1 Zn 0.0000 0.0000 0.0000
Fe1 Fe 0.0000 0.0000 0.5049
Fe2 Fe 0.0000 0.5000 0.7611
Co1 Co 0.0000 0.5000 0.2446

***

# PuInTe (PBE-GGA, optimized geometry)
# V = 415.1 Å³ per cell
# total magnetization = 23.084 μB per cell
# energy relative to the elements, uncorrected = -0.211 eV per atom
# energy = -0.5107 Ry per atom
# offset from the most stable computed form = 0.061 eV/atom
data_PuInTe
_chemical_formula_sum 'Pu4 In4 Te4'
_symmetry_space_group_name_H-M 'C m m e'
_symmetry_Int_Tables_number 67
_symmetry_space_group_name_Hall '-C 2a 2'
_cell_length_a 6.2750
_cell_length_b 10.0489
_cell_length_c 6.5825
_cell_angle_alpha 90.00
_cell_angle_beta 90.00
_cell_angle_gamma 90.00
loop_
_atom_site_label
_atom_site_type_symbol
_atom_site_fract_x
_atom_site_fract_y
_atom_site_fract_z
Pu1 Pu 0.0000 0.2500 0.1614
In1 In 0.0000 0.2500 0.6514
Te1 Te 0.2500 0.0000 0.0000

***

# Mg2CdHg7 (PBE-GGA, optimized geometry)
# V = 589.2 Å³ per cell
# total magnetization = 0.000 μB per cell
# energy = -0.0432 Ry per atom
# offset from the most stable computed form = 0.048 eV/atom
data_Mg2CdHg7
_chemical_formula_sum 'Mg4 Cd2 Hg14'
_symmetry_space_group_name_H-M 'C m m m'
_symmetry_Int_Tables_number 65
_symmetry_space_group_name_Hall '-C 2 2'
_cell_length_a 8.2856
_cell_length_b 14.8530
_cell_length_c 4.7878
_cell_angle_alpha 90.00
_cell_angle_beta 90.00
_cell_angle_gamma 90.00
loop_
_atom_site_label
_atom_site_type_symbol
_atom_site_fract_x
_atom_site_fract_y
_atom_site_fract_z
Mg1 Mg 0.0000 0.1950 0.0000
Cd1 Cd 0.0000 0.5000 0.5000
Hg1 Hg 0.0000 0.0000 0.0000
Hg2 Hg 0.0000 0.2903 0.5000
Hg3 Hg 0.1882 0.3879 0.0000